{
  "formula": "CsAc2Cd2Sn2",
  "functional": "PBE",
  "state": "relaxed",
  "lattice": [[2.659, 1.535, 11.241], [-2.659, 1.535, 11.241], [0.000, -3.070, 11.241]],
  "species": ["Cs", "Ac", "Ac", "Cd", "Cd", "Sn", "Sn"],
  "frac_coords": [[0.000, 0.000, 0.000], [0.133, 0.133, 0.133], [0.867, 0.867, 0.867], [0.426, 0.426, 0.426], [0.574, 0.574, 0.574], [0.246, 0.246, 0.246], [0.754, 0.754, 0.754]],
  "formation_enthalpy_0k_ev_per_atom": -0.255
}